Sr3Mg2Sn4: optimized geometry, PBE.

The structure belongs to space group C2/m (No. 12); the cell edges are 12.7493, 4.8034 and 9.4551 Å and the angles 90.00°, 105.32° and 90.00°. The asymmetric unit holds Sr at (0.0000, 0.0000, 0.0000), Sr at (0.1130, 0.5000, 0.7017), Mg at (0.2000, 0.5000, 0.3752), Sn at (0.0785, 0.0000, 0.3996) and Sn at (0.2087, 0.5000, 0.0684).

For the density of states at the Fermi level, the calculation gives 3.743 states/eV per cell. The calculation puts the total energy at -3.2376 eV per atom.


SrMg6Sn4: optimized geometry, PBE.

The structure belongs to space group I-42m (No. 121); the cell edges are 7.8952, 7.8952 and 10.1424 Å and the angles 90.00°, 90.00° and 90.00°. The asymmetric unit holds Sr at (0.0000, 0.0000, 0.0000), Mg at (0.0000, 0.5000, 0.0000), Mg at (0.1384, 0.1384, 0.3700) and Sn at (0.2248, 0.2248, 0.6385).

For the density of states at the Fermi level, the calculation gives 14.455 states/eV per cell. The calculation puts the total energy at -2.6353 eV per atom.


Sr3Mg7Sn4: optimized geometry, PBE.

The structure belongs to space group C2/m (No. 12); the cell edges are 17.9545, 4.7776 and 11.0187 Å and the angles 90.00°, 124.84° and 90.00°. The asymmetric unit holds Sr at (0.0000, 0.0000, 0.0000), Sr at (0.1965, 0.5000, 0.7010), Mg at (0.0000, 0.0000, 0.5000), Mg at (0.0078, 0.5000, 0.3088), Mg at (0.1586, 0.0000, 0.4314), Mg at (0.1777, 0.5000, 0.0216), Sn at (0.1217, 0.0000, 0.8377) and Sn at (0.1548, 0.5000, 0.2682).

For the density of states at the Fermi level, the calculation gives 13.170 states/eV per cell. The calculation puts the total energy at -2.6924 eV per atom.


Sr3Mg4Sn4: optimized geometry, PBE.

The structure belongs to space group Immm (No. 71); the cell edges are 4.9511, 7.8230 and 16.2981 Å and the angles 90.00°, 90.00° and 90.00°. The asymmetric unit holds Sr at (0.0000, 0.0000, 0.0000), Sr at (0.0000, 0.5000, 0.1201), Mg at (0.0000, 0.3030, 0.3285), Sn at (0.0000, 0.0000, 0.2176) and Sn at (0.0000, 0.1902, 0.5000).

For the density of states at the Fermi level, the calculation gives 3.878 states/eV per cell. The calculation puts the total energy at -3.0121 eV per atom.


Sr3Mg5Sn2: optimized geometry, PBE.

The structure belongs to space group Ibam (No. 72); the cell edges are 13.4320, 13.7121 and 6.8588 Å and the angles 90.00°, 90.00° and 90.00°. The asymmetric unit holds Sr at (0.0000, 0.0000, 0.2500), Sr at (0.2474, 0.3704, 0.0000), Mg at (0.0000, 0.2596, 0.2500), Mg at (0.0000, 0.5000, 0.2500), Mg at (0.1432, 0.3826, 0.5000) and Sn at (0.1469, 0.1436, 0.0000).

For the density of states at the Fermi level, the calculation gives 19.125 states/eV per cell. The calculation puts the total energy at -2.3424 eV per atom.


Sr3Mg2Sn9: optimized geometry, PBE.

The structure belongs to space group Immm (No. 71); the cell edges are 4.6745, 12.3819 and 14.3397 Å and the angles 90.00°, 90.00° and 90.00°. The asymmetric unit holds Sr at (0.0000, 0.0000, 0.0000), Sr at (0.0000, 0.0000, 0.3052), Mg at (0.0000, 0.1906, 0.5000), Sn at (0.0000, 0.2911, 0.1414), Sn at (0.0000, 0.3718, 0.3502) and Sn at (0.0000, 0.5000, 0.0000).

For the density of states at the Fermi level, the calculation gives 14.923 states/eV per cell. The calculation puts the total energy at -3.4843 eV per atom.


SrMgSn3: optimized geometry, PBE.

The structure belongs to space group Pmn2_1 (No. 31); the cell edges are 6.6603, 6.6739 and 6.8133 Å and the angles 90.00°, 90.00° and 90.00°. The asymmetric unit holds Sr at (0.0000, 0.2182, 0.0000), Mg at (0.0000, 0.6160, 0.6830), Sn at (0.0000, 0.9127, 0.3871) and Sn at (0.2491, 0.2736, 0.5308).

For the density of states at the Fermi level, the calculation gives 4.570 states/eV per cell. The calculation puts the total energy at -3.3475 eV per atom.


Sr2Mg12Sn7: optimized geometry, PBE.

The structure belongs to space group P-3 (No. 147); the cell edges are 11.7212, 11.7212 and 4.6095 Å and the angles 90.00°, 90.00° and 120.00°. The asymmetric unit holds Sr at (0.3333, 0.6667, 0.2555), Mg at (0.0466, 0.6183, 0.7492), Mg at (0.1100, 0.8504, 0.2514), Sn at (0.0000, 0.0000, 0.5000) and Sn at (0.1250, 0.4178, 0.7551).

For the density of states at the Fermi level, the calculation gives 3.810 states/eV per cell. The calculation puts the total energy at -2.7100 eV per atom.